Sc2MnAg | Alexandria | PBE | optimized geometry; ΔH_f (0 K) = 0.039 eV per atom; E_tot = -6.13 eV per atom; DOS(E_F) = 5.59 states/eV/cell; total magnetization = 1.98 Bohr magnetons per cell; crystal system = tetragonal; space group = I-4m2 (119)
1.0
-0.8574 4.3704 -3.0909
-4.9499 0.3812 -2.1779
1.9940 -0.9108 4.9583
Ag Mn Sc
1 1 2
direct
0.5000 0.5000 0.0000
0.7500 0.2500 0.5000
0.0000 0.0000 0.0000
0.2500 0.7500 0.5000

***

Sc2MnAg | Alexandria | PBE | optimized geometry; ΔH_f (0 K) = -0.006 eV per atom; E_tot = -6.18 eV per atom; DOS(E_F) = 4.77 states/eV/cell; total magnetization = 2.50 Bohr magnetons per cell; crystal system = monoclinic; space group = Pm (6)
1.0
4.6737 0.0000 0.0000
0.0000 3.2054 -0.0009
0.0000 0.8418 5.2083
Ag Mn Sc
1 1 2
direct
0.0000 0.6566 0.4623
0.5000 0.5889 0.7897
0.0000 0.0278 0.9218
0.5000 0.2267 0.3261